A plane-wave DFT calculation with PBE-GGA was carried out for a geometry-optimized Sr2SbPdAu6 structure.

Unit cell a=5.543 b=9.506 c=7.428 alpha=47.29 beta=68.13 gamma=90.05
Atoms (fractional coordinates):
Sb1 0.500 0.500 0.000
Au1 0.267 0.264 0.965
Au2 0.767 0.263 0.967
Au3 0.233 0.737 0.033
Au4 0.733 0.736 0.035
Au5 0.760 0.920 0.481
Au6 0.240 0.080 0.519
Pd1 0.000 0.000 0.000
Sr1 0.269 0.740 0.462
Sr2 0.731 0.260 0.538

Output
symmetry: P-1 (2)
E_tot: -3.686 eV per atom


A plane-wave DFT calculation with PBE-GGA was carried out for a geometry-optimized TbSbPdAu structure.

Unit cell a=4.927 b=4.927 c=4.927 alpha=60.00 beta=60.00 gamma=60.00
Atoms (fractional coordinates):
Pd1 0.000 0.000 0.000
Sb1 0.250 0.250 0.250
Tb1 0.750 0.750 0.750
Au1 0.500 0.500 0.500

Output
symmetry: F-43m (216)
E_tot: -5.010 eV per atom


A plane-wave DFT calculation with PBE-GGA was carried out for a geometry-optimized Sb2TePdAu structure.

Unit cell a=5.174 b=5.174 c=5.349 alpha=90.00 beta=90.00 gamma=90.00
Atoms (fractional coordinates):
Te1 0.000 0.000 0.500
Au1 0.500 0.500 0.500
Sb1 0.500 0.000 0.000
Sb2 0.000 0.500 0.000
Pd1 0.000 0.000 0.000

Output
symmetry: P4/mmm (123)
energy above the lowest structure with this stoichiometry: 0.000 eV per atom
E_tot: -3.498 eV per atom


A plane-wave DFT calculation with PBE-GGA was carried out for a geometry-optimized ThSbPdAu structure.

Unit cell a=5.038 b=5.038 c=5.038 alpha=60.00 beta=60.00 gamma=60.00
Atoms (fractional coordinates):
Th1 0.250 0.250 0.250
Sb1 0.750 0.750 0.750
Au1 0.500 0.500 0.500
Pd1 0.000 0.000 0.000

Output
symmetry: F-43m (216)
E_tot: -5.686 eV per atom


A plane-wave DFT calculation with PBE-GGA was carried out for a geometry-optimized Ti2Sb2Pd7Au structure.

Unit cell a=4.076 b=4.076 c=13.716 alpha=72.48 beta=72.48 gamma=89.36
Atoms (fractional coordinates):
Pd1 0.162 0.662 0.838
Pd2 0.241 0.241 0.500
Pd3 0.338 0.838 0.162
Pd4 0.500 0.500 0.000
Pd5 0.662 0.162 0.838
Pd6 0.759 0.759 0.500
Pd7 0.838 0.338 0.162
Ti1 0.183 0.183 0.317
Ti2 0.817 0.817 0.683
Sb1 0.313 0.313 0.687
Sb2 0.687 0.687 0.313
Au1 0.000 0.000 0.000

Output
symmetry: Cmmm (65)
E_tot: -5.658 eV per atom


A plane-wave DFT calculation with PBE-GGA was carried out for a geometry-optimized TiSbPdAu structure.

Unit cell a=4.671 b=4.671 c=4.671 alpha=60.00 beta=60.00 gamma=60.00
Last column: magnetic moment on the atom in μB.
Atoms (fractional coordinates):
Au1 0.250 0.250 0.250  0.00
Pd1 0.000 0.000 0.000  -0.01
Sb1 0.750 0.750 0.750  0.00
Ti1 0.500 0.500 0.500  0.30

Output
symmetry: F-43m (216)
E_tot: -5.461 eV per atom


Number 1: ΔE_f (raw) -452 meV per atom. Number 2: ΔE_f (raw) -704 meV per atom. Number 3: ΔE_f (raw) 473 meV per atom. Number 4: ΔE_f (raw) -683 meV per atom. Number 5: ΔE_f (raw) -353 meV per atom. Number 6: ΔE_f (raw) -339 meV per atom.